# 1
Below is a geometry-optimized CuH3Br structure, with properties calculated at the PBE-GGA level.

Values from the calculation:
Final energy ... -2.40 eV/atom
Magnetization ... 0.000 μB per formula unit

abc: 3.6503 3.6503 3.6503
angles: 90.00 90.00 90.00
Last column: nearest neighbours and their distance in Å.
Space group Pm-3m (No. 221)
Unique sites:
Cu 0.0000 0.0000 0.0000 x1  6 H 1.83
H 0.0000 0.0000 0.5000 x3  2 Cu 1.83
Br 0.5000 0.5000 0.5000 x1  12 H 2.58

---

# 2
Below is a geometry-optimized Cu3HBr structure, with properties calculated at the PBE-GGA level.

Values from the calculation:
Final energy ... -3.05 eV/atom
Magnetization ... 0.000 μB per formula unit

abc: 4.0034 4.0034 4.0034
angles: 90.00 90.00 90.00
Last column: nearest neighbours and their distance in Å.
Space group Pm-3m (No. 221)
Unique sites:
Cu 0.0000 0.0000 0.5000 x3  2 H 2.00
H 0.0000 0.0000 0.0000 x1  6 Cu 2.00
Br 0.5000 0.5000 0.5000 x1  12 Cu 2.83

---

# 3
Below is a geometry-optimized CuHBr2 structure, with properties calculated at the PBE-GGA level.

Values from the calculation:
Final energy ... -2.89 eV/atom
Magnetization ... 0.000 μB per formula unit

abc: 7.5431 7.0730 7.0442
angles: 90.00 90.00 90.00
Last column: nearest neighbours and their distance in Å.
Space group Pna2_1 (No. 33)
Unique sites:
Cu 0.0720 0.0998 0.0000 x4  4 Br 2.39-2.65
H 0.0892 0.4094 0.3601 x4  1 Br 1.57
Br 0.1004 0.1354 0.3358 x4  1 H 1.95
Br 0.1247 0.6274 0.3497 x4  1 H 1.57

---

Question: Among the records above, which one has the highest final energy?
Answer: CuH3Br

---

What did the second record say?
Below is a geometry-optimized Cu3HBr structure, with properties calculated at the PBE-GGA level.

Values from the calculation:
Final energy ... -3.05 eV/atom
Magnetization ... 0.000 μB per formula unit

abc: 4.0034 4.0034 4.0034
angles: 90.00 90.00 90.00
Last column: nearest neighbours and their distance in Å.
Space group Pm-3m (No. 221)
Unique sites:
Cu 0.0000 0.0000 0.5000 x3  2 H 2.00
H 0.0000 0.0000 0.0000 x1  6 Cu 2.00
Br 0.5000 0.5000 0.5000 x1  12 Cu 2.83

---

What did the first record say?
Below is a geometry-optimized CuH3Br structure, with properties calculated at the PBE-GGA level.

Values from the calculation:
Final energy ... -2.40 eV/atom
Magnetization ... 0.000 μB per formula unit

abc: 3.6503 3.6503 3.6503
angles: 90.00 90.00 90.00
Last column: nearest neighbours and their distance in Å.
Space group Pm-3m (No. 221)
Unique sites:
Cu 0.0000 0.0000 0.0000 x1  6 H 1.83
H 0.0000 0.0000 0.5000 x3  2 Cu 1.83
Br 0.5000 0.5000 0.5000 x1  12 H 2.58

---

Question: Among the records above, which one has the lowest final energy?
Answer: Cu3HBr